Here is crystalline CeHPb at its relaxed geometry from Alexandria. Energies are from GGA-PBE.

Energy in eV per atom: -4.568
Offset from the most stable computed form in meV/atom: 161
D(E_F) in states/eV/cell: 6.27

Lattice parameters (Å, degrees): 3.3147 3.3147 6.4262 104.95 104.95 90.00
Last column: nearest neighbours and their distance in Å.
Fractional positions:
H  0.2690  0.2690  0.5379  4 Ce 2.40
Pb  0.0051  0.0051  0.0102  1 H 3.16, 4 Pb 3.31, 5 Ce 3.34-3.53
Ce  0.7259  0.7259  0.4518  4 H 2.40


Here is crystalline Ce8HPb4 at its relaxed geometry from Alexandria. Energies are from GGA-PBE.

Energy in eV per atom: -5.382
D(E_F) in states/eV/cell: 39.00

Lattice parameters (Å, degrees): 4.7579 4.5127 16.4561 90.00 90.00 90.00
Last column: nearest neighbours and their distance in Å.
Fractional positions:
Pb  0.5000  0.5000  0.3995  10 Ce 3.34-3.56, 4 H 3.70
Pb  0.0000  0.0000  0.0994  1 H 3.23, 10 Ce 3.33-3.53
Pb  0.5000  0.0000  0.8995  10 Ce 3.33-3.54
Pb  0.0000  0.5000  0.6023  10 Ce 3.33-3.50
Ce  0.0000  0.0000  0.7508  4 Ce 3.28, 4 Pb 3.33-3.41
Ce  0.0000  0.0000  0.4394  1 H 2.36
Ce  0.0000  0.5000  0.9348  2 Ce 3.21, 6 Pb 3.33-3.53
Ce  0.5000  0.0000  0.2494  2 H 2.50
Ce  0.5000  0.5000  0.7506  4 Ce 3.28, 4 Pb 3.33-3.41
Ce  0.5000  0.5000  0.0653  2 Ce 3.21, 6 Pb 3.33-3.54
Ce  0.5000  0.0000  0.5666  2 Ce 3.17, 4 Pb 3.33
Ce  0.0000  0.5000  0.2495  2 H 2.38
H  0.0000  0.0000  0.2958  5 Ce 2.36-2.50


Here is crystalline Ce7H4Pb4 at its relaxed geometry from Alexandria. Energies are from GGA-PBE.

Energy in eV per atom: -4.917
D(E_F) in states/eV/cell: 72.21

Lattice parameters (Å, degrees): 6.0170 11.1220 11.1220 85.80 74.31 74.31
Last column: nearest neighbours and their distance in Å.
Fractional positions:
Ce  0.0949  0.4051  0.4051  4 H 2.45
Ce  0.7103  0.0000  0.5793  4 H 3.19, 5 Pb 3.19-3.37, 2 Ce 3.46
Ce  0.5000  0.4051  0.5949  4 H 2.45
Ce  0.9051  0.5949  0.5949  4 H 2.45
Ce  0.7036  0.2964  0.2964  4 H 2.69
Ce  0.2897  0.0000  0.4207  4 H 3.19, 5 Pb 3.19-3.37, 2 Ce 3.46
Ce  0.7524  0.0000  0.0000  2 Ce 2.98-3.04, 8 Pb 3.31-3.33
Ce  0.5000  0.5949  0.4051  4 H 2.45
Ce  0.0000  0.7036  0.2964  4 H 2.69
Ce  0.2476  0.0000  0.0000  2 Ce 2.98-3.04, 8 Pb 3.31-3.33
Ce  0.2964  0.7036  0.7036  4 H 2.69
Ce  0.7103  0.5793  0.0000  4 H 3.19, 5 Pb 3.19-3.37, 2 Ce 3.46
Ce  0.0000  0.2964  0.7036  4 H 2.69
Ce  0.2897  0.4207  0.0000  4 H 3.19, 5 Pb 3.19-3.37, 2 Ce 3.46
H  0.3746  0.5000  0.2508  4 Ce 2.45-2.69
H  0.8746  0.5000  0.2508  4 Ce 2.45-2.69
H  0.1254  0.7492  0.5000  4 Ce 2.45-2.69
H  0.6254  0.5000  0.7492  4 Ce 2.45-2.69
H  0.1254  0.5000  0.7492  4 Ce 2.45-2.69
H  0.8746  0.2508  0.5000  4 Ce 2.45-2.69
H  0.3746  0.2508  0.5000  4 Ce 2.45-2.69
H  0.6254  0.7492  0.5000  4 Ce 2.45-2.69
Pb  0.3061  0.1939  0.1939  7 Ce 3.19-3.39
Pb  0.5000  0.8061  0.1939  7 Ce 3.19-3.39
Pb  0.8608  0.0000  0.2783  7 Ce 3.18-3.37
Pb  0.1392  0.0000  0.7217  7 Ce 3.18-3.37
Pb  0.5000  0.1939  0.8061  7 Ce 3.19-3.39
Pb  0.1392  0.7217  0.0000  7 Ce 3.18-3.37
Pb  0.8608  0.2783  0.0000  7 Ce 3.18-3.37
Pb  0.6939  0.8061  0.8061  7 Ce 3.19-3.39